1.
16
Lattice="5.579 0.000 0.000 0.000 5.579 0.000 0.000 0.000 11.287" Properties=species:S:1:pos:R:3 comment="NbAsRh2 | Alexandria | PBE-GGA | optimized geometry" total_energy_ev_per_atom=-7.200 sg=I-42d pbc="T T T"
Nb 0.000 0.000 0.000
Nb 0.000 2.790 2.822
Nb 2.790 0.000 8.465
Nb 2.790 2.790 5.643
As 0.000 0.000 5.643
As 0.000 2.790 8.465
As 2.790 0.000 2.822
As 2.790 2.790 0.000
Rh 1.293 1.395 7.054
Rh 1.395 4.083 9.876
Rh 1.395 4.286 4.233
Rh 1.496 1.395 1.411
Rh 4.083 4.184 1.411
Rh 4.184 1.293 4.233
Rh 4.184 1.496 9.876
Rh 4.286 4.184 7.054


2.
20
Lattice="6.641 0.000 0.000 0.000 6.968 0.000 -6.486 0.000 9.597" Properties=species:S:1:pos:R:3 comment="PmTl3F6 | Alexandria | PBE-GGA | optimized geometry" raw_formation_energy_kj_per_mol_atoms=-259 relative_energy_ev_per_fu=0.00 sg=P2_1/c pbc="T T T"
Pm 0.000 0.000 0.000
Pm -3.243 3.484 4.798
Tl -3.121 0.283 7.230
Tl 0.122 3.201 2.432
Tl 0.077 0.000 4.798
Tl 3.321 3.484 0.000
Tl 0.032 3.767 7.165
Tl 3.276 6.685 2.366
F -0.765 0.376 2.119
F -4.008 3.108 6.917
F 1.035 5.052 0.671
F -2.209 5.400 5.470
F 1.916 1.136 0.486
F -1.327 2.348 5.284
F 1.482 4.620 4.313
F -1.761 5.832 9.111
F 2.364 1.568 4.127
F -0.880 1.916 8.925
F 4.163 3.860 2.679
F 0.920 6.592 7.478


3.
9
Lattice="0.000 3.550 3.550 3.550 0.000 3.550 3.550 3.550 0.000" Properties=species:S:1:pos:R:3 comment="NaGa2H6 | Alexandria | PBE-GGA | optimized geometry" relative_energy_ev_per_fu=6.55 sg=Fm-3m pbc="T T T"
Na 0.000 0.000 0.000
Ga 1.775 1.775 1.775
Ga 5.325 5.325 5.325
H 3.550 3.550 2.568
H 3.550 2.568 3.550
H 4.531 3.550 3.550
H 2.568 3.550 3.550
H 3.550 4.531 3.550
H 3.550 3.550 4.531


no.,calculated volume (Å³/atom)
1,21.96
2,22.20
3,9.94